An optimized crystal structure of La3Ir3O11, computed with PBEsol.

abc: 9.4449 9.4449 9.4449
angles: 90.00 90.00 90.00
Fractional positions:
O  0.0000  0.0000  0.6385
O  0.5000  0.5000  0.8615
O  0.7087  0.3342  0.9971
O  0.5029  0.2087  0.8342
O  0.1658  0.5029  0.7913
O  0.7913  0.1658  0.5029
O  0.3342  0.9971  0.7087
O  0.1055  0.8945  0.1055
O  0.3945  0.6055  0.3945
O  0.4971  0.2087  0.1658
O  0.3945  0.3945  0.6055
O  0.6055  0.6055  0.6055
O  0.5000  0.5000  0.1385
O  0.8342  0.4971  0.7913
O  0.9971  0.7087  0.3342
O  0.6658  0.9971  0.2913
O  0.6385  0.0000  0.0000
O  0.2087  0.8342  0.5029
O  0.0000  0.0000  0.3615
O  0.7087  0.6658  0.0029
O  0.3615  0.0000  0.0000
O  0.7913  0.8342  0.4971
O  0.1385  0.5000  0.5000
O  0.8342  0.5029  0.2087
O  0.5000  0.1385  0.5000
O  0.0000  0.3615  0.0000
O  0.2913  0.3342  0.0029
O  0.1055  0.1055  0.8945
O  0.5000  0.8615  0.5000
O  0.8945  0.8945  0.8945
O  0.0029  0.2913  0.3342
O  0.2087  0.1658  0.4971
O  0.0000  0.6385  0.0000
O  0.0029  0.7087  0.6658
O  0.1658  0.4971  0.2087
O  0.2913  0.6658  0.9971
O  0.8615  0.5000  0.5000
O  0.8945  0.1055  0.1055
O  0.6658  0.0029  0.7087
O  0.4971  0.7913  0.8342
O  0.9971  0.2913  0.6658
O  0.3342  0.0029  0.2913
O  0.5029  0.7913  0.1658
O  0.6055  0.3945  0.3945
La  0.3639  0.3639  0.3639
La  0.2500  0.7500  0.2500
La  0.1361  0.1361  0.1361
La  0.2500  0.2500  0.7500
La  0.3639  0.6361  0.6361
La  0.8639  0.1361  0.8639
La  0.7500  0.2500  0.2500
La  0.1361  0.8639  0.8639
La  0.7500  0.7500  0.7500
La  0.6361  0.3639  0.6361
La  0.8639  0.8639  0.1361
La  0.6361  0.6361  0.3639
Ir  0.0000  0.1580  0.5000
Ir  0.6580  0.0000  0.5000
Ir  0.5000  0.3420  0.0000
Ir  0.0000  0.5000  0.6580
Ir  0.5000  0.6580  0.0000
Ir  0.5000  0.0000  0.8420
Ir  0.0000  0.5000  0.3420
Ir  0.8420  0.5000  0.0000
Ir  0.0000  0.8420  0.5000
Ir  0.1580  0.5000  0.0000
Ir  0.5000  0.0000  0.1580
Ir  0.3420  0.0000  0.5000

Values from the calculation:
DOS(E_F): 0.6523 states/eV per atom
energy relative to the elements, uncorrected: -2023 meV per atom
calculated density: 9.2 g/cm3
space-group type: Pn-3, No. 201
total magnetization: 0.0 μB per formula unit

=====

An optimized crystal structure of LaPIrO2, computed with PBEsol.

abc: 4.0700 4.0700 4.5762
angles: 90.00 90.00 90.00
Fractional positions:
O  0.0000  0.5000  0.0000
O  0.5000  0.0000  0.0000
P  0.0000  0.0000  0.5000
Ir  0.0000  0.0000  0.0000
La  0.5000  0.5000  0.5000

Values from the calculation:
DOS(E_F): 1.0971 states/eV per atom
energy relative to the elements, uncorrected: -988 meV per atom
calculated density: 8.6 g/cm3
space-group type: P4/mmm, No. 123
total magnetization: 0.0 μB per formula unit

=====

An optimized crystal structure of La2ZnIrO6, computed with PBEsol.

abc: 5.5070 5.7452 7.8577
angles: 90.00 90.02 90.00
Each line ends with the local moment (μB).
Fractional positions:
O  0.3081  0.2921  0.4502  0.06
O  0.1919  0.7921  0.0498  0.06
O  0.2027  0.8011  0.4523  0.05
O  0.8081  0.2079  0.9502  0.06
O  0.7973  0.1989  0.5477  0.05
O  0.6919  0.7079  0.5498  0.06
O  0.4078  0.0233  0.7474  0.05
O  0.0922  0.5233  0.7526  0.05
O  0.2973  0.3011  0.0477  0.05
O  0.5922  0.9767  0.2526  0.05
O  0.9078  0.4767  0.2474  0.05
O  0.7027  0.6989  0.9523  0.05
Zn  0.5000  0.0000  0.0000  0.01
Zn  0.0000  0.5000  0.5000  0.01
La  0.0153  0.0601  0.2506  0.01
La  0.9847  0.9399  0.7494  0.01
La  0.5153  0.4399  0.7506  0.01
La  0.4847  0.5601  0.2494  0.01
Ir  0.5000  0.0000  0.5000  0.56
Ir  0.0000  0.5000  0.0000  0.56

Values from the calculation:
DOS(E_F): 0.7079 states/eV per atom
energy relative to the elements, uncorrected: -2265 meV per atom
calculated density: 8.4 g/cm3
space-group type: P2_1/c, No. 14
total magnetization: 1.0 μB per formula unit

=====

An optimized crystal structure of LaIrOs, computed with PBEsol.

abc: 2.8935 2.8935 6.9193
angles: 102.07 102.07 90.00
Fractional positions:
La  0.6675  0.6675  0.3349
Os  0.3563  0.3563  0.7125
Ir  0.9763  0.9763  0.9525

Values from the calculation:
DOS(E_F): 0.5494 states/eV per atom
calculated density: 15.6 g/cm3
space-group type: I4mm, No. 107
total magnetization: 0.0 μB per formula unit

=====

An optimized crystal structure of LaPIr, computed with PBEsol.

abc: 4.1194 4.1194 7.6678
angles: 105.58 105.58 90.00
Fractional positions:
La  0.9995  0.9995  0.9990
La  0.2495  0.7495  0.4990
P  0.4203  0.4203  0.8405
P  0.6703  0.1703  0.3405
Ir  0.8377  0.3377  0.6753
Ir  0.5877  0.5877  0.1753

Values from the calculation:
DOS(E_F): 0.6713 states/eV per atom
calculated density: 10.0 g/cm3
space-group type: I4_1md, No. 109
total magnetization: 0.0 μB per formula unit

=====

An optimized crystal structure of La2PIr, computed with PBEsol.

abc: 7.3935 7.3935 6.5432
angles: 124.40 124.40 90.00
Fractional positions:
Ir  0.0000  0.0000  0.0000
Ir  0.2500  0.7500  0.5000
P  0.5000  0.5000  0.0000
P  0.7500  0.2500  0.5000
La  0.3629  0.8750  0.2500
La  0.6250  0.6371  0.7500
La  0.1250  0.1129  0.7500
La  0.8871  0.3750  0.2500

Values from the calculation:
DOS(E_F): 0.0932 states/eV per atom
calculated density: 7.7 g/cm3
space-group type: I-42d, No. 122
total magnetization: 0.0 μB per formula unit

=====

An optimized crystal structure of La2PIr, computed with PBEsol.

abc: 4.1926 4.1926 7.2032
angles: 73.08 73.08 60.00
Fractional positions:
La  0.2526  0.2526  0.2422
La  0.7474  0.7474  0.7578
P  0.5000  0.5000  0.5000
Ir  0.0000  0.0000  0.0000

Values from the calculation:
DOS(E_F): 0.3112 states/eV per atom
calculated density: 8.1 g/cm3
space-group type: R-3m, No. 166
total magnetization: 0.0 μB per formula unit

=====

An optimized crystal structure of La2PIr, computed with PBEsol.

abc: 4.7394 4.7394 4.7394
angles: 66.54 66.54 66.54
Fractional positions:
La  0.7341  0.7341  0.7341
La  0.0138  0.0138  0.0138
Ir  0.2723  0.2723  0.2723
P  0.4798  0.4798  0.4798

Values from the calculation:
DOS(E_F): 0.7859 states/eV per atom
calculated density: 9.7 g/cm3
space-group type: R3m, No. 160
total magnetization: 0.0 μB per formula unit

=====

An optimized crystal structure of LaIr2Pb, computed with PBEsol.

abc: 3.7484 4.3893 5.7076
angles: 111.49 109.17 90.00
Fractional positions:
Pb  0.7284  0.2290  0.4568
La  0.4979  0.4902  0.9957
Ir  0.9954  0.9752  0.9909
Ir  0.2783  0.8057  0.5566

Values from the calculation:
DOS(E_F): 0.6589 states/eV per atom
calculated density: 14.8 g/cm3
space-group type: Cm, No. 8
total magnetization: 0.0 μB per formula unit

=====

An optimized crystal structure of LaIrPb, computed with PBEsol.

abc: 4.8321 4.8321 4.8321
angles: 60.00 60.00 60.00
Fractional positions:
Pb  0.2500  0.2500  0.2500
Ir  0.0000  0.0000  0.0000
La  0.5000  0.5000  0.5000

Values from the calculation:
DOS(E_F): 1.8237 states/eV per atom
calculated density: 11.2 g/cm3
space-group type: F-43m, No. 216
total magnetization: 0.0 μB per formula unit

=====

An optimized crystal structure of LaIrPb2, computed with PBEsol.

abc: 3.8058 4.3359 6.7286
angles: 108.80 90.00 90.00
Fractional positions:
Pb  0.5000  0.4455  0.8910
Pb  0.0000  0.0566  0.1132
Ir  0.0000  0.2747  0.5494
La  0.5000  0.7316  0.4631

Values from the calculation:
DOS(E_F): 0.5689 states/eV per atom
calculated density: 11.8 g/cm3
space-group type: Amm2, No. 38
total magnetization: 0.0 μB per formula unit

=====

An optimized crystal structure of LaIr2Pb, computed with PBEsol.

abc: 4.6630 4.6630 5.4487
angles: 64.67 64.67 60.00
Fractional positions:
La  0.5000  0.5000  0.5000
Ir  0.2992  0.2992  0.1024
Ir  0.7008  0.7008  0.8976
Pb  0.0000  0.0000  0.0000

Values from the calculation:
DOS(E_F): 0.4796 states/eV per atom
calculated density: 13.6 g/cm3
space-group type: R-3m, No. 166
total magnetization: 0.0 μB per formula unit

=====

Number 1: VASP energy -0.5951 Ry/atom. Number 2: VASP energy -0.5351 Ry/atom. Number 3: VASP energy -0.5603 Ry/atom. Number 4: VASP energy -0.6600 Ry/atom. Number 5: VASP energy -0.6011 Ry/atom. Number 6: VASP energy -0.5289 Ry/atom. Number 7: VASP energy -0.5520 Ry/atom. Number 8: VASP energy -0.5164 Ry/atom. Number 9: VASP energy -0.5337 Ry/atom. Number 10: VASP energy -0.4504 Ry/atom. Number 11: VASP energy -0.4466 Ry/atom. Number 12: VASP energy -0.5412 Ry/atom.